First-principles (GGA+U) data for crystalline BeCoN2O at its relaxed geometry, as listed in the Alexandria database.

Output
- E_tot: -26.3 eV for the cell shown
- M_tot: 0.274 μB/atom
- DOS(E_F): 2.95 states/eV/cell
- Space-group type: P4/mmm (123)

abc: 3.3520 3.3520 3.8680
angles: 90.00 90.00 90.00
Closest atoms and distances in Å follow each position.
Element x y z (fractional)
Be 0.0000 0.0000 0.0000  4 N 1.68
Co 0.5000 0.5000 0.5000  4 O 2.37, 8 N 2.56
O 0.0000 0.0000 0.5000  2 Be 1.93
N 0.0000 0.5000 0.0000  2 Be 1.68
N 0.5000 0.0000 0.0000  2 Be 1.68